# PBE Mg2CrOsRu, relaxed
data_Mg2CrOsRu
_cell_length_a 4.742
_cell_length_b 4.742
_cell_length_c 4.361
_cell_angle_alpha 90.00
_cell_angle_beta 90.00
_cell_angle_gamma 90.00
_symmetry_space_group_name_H-M 'P 4/m m m'
_symmetry_Int_Tables_number 123
_symmetry_space_group_name_Hall '-P 4 2'
loop_
_atom_site_label
_atom_site_type_symbol
_atom_site_fract_x
_atom_site_fract_y
_atom_site_fract_z
Mg1 Mg 0.000 0.500 0.000
Cr1 Cr 0.000 0.000 0.500
Os1 Os 0.500 0.500 0.500
Ru1 Ru 0.000 0.000 0.000
# D(E_F) = 1.556 states/eV per atom
# crystal system = tetragonal
# E_form = 6.92 eV per formula unit
# magnetic moment = 3.9 Bohr magnetons per cell